Material: MnCo2SbO6
Method: DFT, GGA+U
State: relaxed

Summary:
Its density of states at the Fermi level is 0.000 states/eV per atom. The total DFT energy (no corrections) is -193.7 eV for the cell shown. For the size of the total moment, the calculation gives 24.000 Bohr magnetons per cell.

Geometry as CIF:
```
data_MnCo2SbO6
_chemical_formula_sum 'Mn3 Co6 Sb3 O18'
_symmetry_space_group_name_H-M 'R 3'
_symmetry_Int_Tables_number 146
_symmetry_space_group_name_Hall 'R 3'
_cell_length_a 5.1600
_cell_length_b 5.1600
_cell_length_c 14.3094
_cell_angle_alpha 90.00
_cell_angle_beta 90.00
_cell_angle_gamma 120.00
loop_
_atom_site_label
_atom_site_fract_x
_atom_site_fract_y
_atom_site_fract_z
_atom_site_occupancy
Mn1 0.0000 0.0000 0.0000 1
Co1 0.0000 0.0000 0.2754 1
Co2 0.0000 0.0000 0.7960 1
Sb1 0.0000 0.0000 0.4813 1
O1 0.0098 0.6288 0.0589 1
O2 0.0349 0.3610 0.5472 1
```